{"formula": "La2YNi2", "functional": "GGA-PBE", "state": "optimized geometry", "relative_energy_mev_per_atom": 343, "delta_e_f_kj_per_mol_atoms": 8.2, "lattice_angstrom": [[-4.881, -0.279, 1.120], [0.871, -4.083, 2.779], [-1.225, 0.805, 6.091]], "species": ["Ni", "La", "Ni", "La", "Y"], "fractional_positions": [[0.750, 0.250, 0.500], [0.350, 0.350, 0.300], [0.250, 0.750, 0.500], [0.650, 0.650, 0.700], [0.000, 0.000, 0.000]]}


{"formula": "MnFeCu", "functional": "GGA-PBE", "state": "optimized geometry", "relative_energy_mev_per_atom": 61, "delta_e_f_kj_per_mol_atoms": 19.3, "lattice_angstrom": [[-4.230, -0.866, -1.244], [-1.037, -2.172, -3.794], [2.707, -0.350, 3.569]], "species": ["Fe", "Cu", "Mn"], "fractional_positions": [[0.331, 0.331, 0.000], [0.000, 0.000, 0.000], [0.669, 0.669, 0.000]]}


{"formula": "ThSbPb2", "functional": "GGA-PBE", "state": "optimized geometry", "relative_energy_mev_per_atom": 0, "lattice_angstrom": [[-0.538, 0.102, -5.295], [0.296, -4.657, -0.120], [-4.635, -0.307, 0.465]], "species": ["Sb", "Pb", "Th", "Pb"], "fractional_positions": [[0.500, 0.500, 0.500], [0.000, 0.500, 0.000], [0.500, 0.000, 0.000], [0.000, 0.000, 0.500]]}


{"formula": "Sr3Dy3TmSe8", "functional": "GGA-PBE", "state": "optimized geometry", "final_energy_ev_per_atom": -5.339, "lattice_angstrom": [[8.305, 0.000, 0.000], [-4.152, 7.193, -0.026], [0.000, -4.769, 7.156]], "species": ["Se", "Sr", "Sr", "Se", "Se", "Dy", "Se", "Sr", "Dy", "Tm", "Se", "Dy", "Se", "Se", "Se"], "fractional_positions": [[0.241, 0.482, 0.725], [0.500, 0.500, 0.000], [0.000, 0.000, 0.000], [0.256, 0.016, 0.275], [0.744, 0.984, 0.725], [0.000, 0.500, 0.500], [0.257, 0.513, 0.270], [0.000, 0.500, 0.000], [0.500, 0.500, 0.500], [0.000, 0.000, 0.500], [0.759, 0.518, 0.275], [0.500, 0.000, 0.500], [0.759, 0.016, 0.275], [0.241, 0.984, 0.725], [0.743, 0.487, 0.730]]}


{"formula": "ZnSiSe", "functional": "GGA-PBE", "state": "optimized geometry", "relative_energy_mev_per_atom": 76, "lattice_angstrom": [[-1.727, -0.644, -4.113], [1.557, -3.336, -2.601], [-2.576, -3.606, -0.823]], "species": ["Si", "Zn", "Se"], "fractional_positions": [[0.750, 0.750, 0.750], [0.000, 0.000, 0.000], [0.500, 0.500, 0.500]]}


{"formula": "BaOsPt", "functional": "GGA-PBE", "state": "optimized geometry", "relative_energy_mev_per_atom": 468, "delta_e_f_kj_per_mol_atoms": 39.4, "lattice_angstrom": [[-1.319, 5.815, 1.721], [-2.369, 5.482, -1.688], [-3.424, 0.015, 1.053]], "species": ["Pt", "Ba", "Os"], "fractional_positions": [[0.721, 0.721, 0.279], [0.002, 0.002, 0.998], [0.277, 0.277, 0.723]]}


{"formula": "LaDy2Zn2Sn2", "functional": "GGA-PBE", "state": "optimized geometry", "delta_e_f_kj_per_mol_atoms": -36.1, "lattice_angstrom": [[-0.124, 3.828, -2.735], [-3.511, 3.102, 0.451], [3.812, 7.062, 5.661]], "species": ["Sn", "Zn", "Zn", "Dy", "Dy", "Sn", "La"], "fractional_positions": [[0.737, 0.737, 0.789], [0.424, 0.424, 0.727], [0.576, 0.576, 0.273], [0.133, 0.133, 0.602], [0.867, 0.867, 0.398], [0.263, 0.263, 0.211], [0.000, 0.000, 0.000]]}